# PBE ScMnAsRu2, relaxed
# V: 91.1 Å³ per cell
# spin magnetization: 3.0 Bohr magnetons per cell
# formation enthalpy at 0 K: 1.3 eV/f.u.
# E: -0.2748 hartree per atom
data_ScMnAsRu2
_chemical_formula_sum 'Sc1 Mn1 As1 Ru2'
_space_group_name_H-M_alt 'P 4/m m m'
_space_group_IT_number 123
_space_group_name_Hall '-P 4 2'
_cell_length_a 4.551
_cell_length_b 4.551
_cell_length_c 4.399
_cell_angle_alpha 90.00
_cell_angle_beta 90.00
_cell_angle_gamma 90.00
loop_
_atom_site_label
_atom_site_type_symbol
_atom_site_fract_x
_atom_site_fract_y
_atom_site_fract_z
Sc1 Sc 0.000 0.000 0.000
Mn1 Mn 0.500 0.500 0.000
As1 As 0.500 0.500 0.500
Ru1 Ru 0.000 0.500 0.500